! PBE-GGA Pm2SmSnN, relaxed; values from VASP
! energy: -6.307 eV per atom
! Fermi-level density of states: 1.91 states/eV per cell
! space-group type: No. 123
&SYSTEM
  ibrav = 0, nat = 5, ntyp = 4
/
ATOMIC_SPECIES
Sn 118.71 Sn.upf
N 14.01 N.upf
Sm 150.36 Sm.upf
Pm 145.00 Pm.upf
ATOMIC_POSITIONS crystal
Sn 0.5000 0.5000 0.5000
N 0.0000 0.0000 0.0000
Sm 0.5000 0.0000 0.0000
Pm 0.0000 0.0000 0.5000
Pm 0.0000 0.5000 0.0000
CELL_PARAMETERS angstrom
-3.5444 -3.4072 -0.4125
2.8095 -2.5333 -3.2165
2.0095 -2.5456 3.7602